## Th8Te4Pt3S (PBE-GGA)

Data for a relaxed Th8Te4Pt3S crystal.

The value obtained for the volume is 1405 Å³ per cell. The value obtained for the formation energy (no corrections) is -1.242 eV/atom.

The structure in CIF format:
```
data_Th8Te4Pt3S
_chemical_formula_sum 'Th24 Te12 Pt9 S3'
_cell_length_a 8.4956
_cell_length_b 8.4956
_cell_length_c 22.4849
_cell_angle_alpha 90.00
_cell_angle_beta 90.00
_cell_angle_gamma 120.00
_symmetry_space_group_name_H-M 'R -3 m'
_symmetry_Int_Tables_number 166
_symmetry_space_group_name_Hall '-R 3 2"'
loop_
_atom_site_label
_atom_site_type_symbol
_atom_site_fract_x
_atom_site_fract_y
_atom_site_fract_z
_atom_site_occupancy
Th1 Th 0.0000 0.0000 0.2338 1
Th2 Th 0.0027 0.5014 0.2387 1
Te1 Te 0.0000 0.0000 0.0000 1
Te2 Te 0.0000 0.5000 0.0000 1
Pt1 Pt 0.0000 0.5000 0.5000 1
S1 S 0.0000 0.0000 0.5000 1
```

## TaSnPt3 (PBE-GGA)

Data for a relaxed TaSnPt3 crystal.

The energy of formation comes out at 1.23 eV/atom. The value obtained for the volume is 112 Å³ per cell. The value obtained for the polymorph energy (0 for the lowest one) is 639.2 meV per atom.

The structure in CIF format:
```
data_TaSnPt3
_chemical_formula_sum 'Ta1 Sn1 Pt3'
_cell_length_a 4.824
_cell_length_b 4.824
_cell_length_c 4.824
_cell_angle_alpha 90.00
_cell_angle_beta 90.00
_cell_angle_gamma 90.00
_symmetry_space_group_name_H-M 'P m -3 m'
_symmetry_Int_Tables_number 221
_symmetry_space_group_name_Hall '-P 4 2 3'
loop_
_atom_site_label
_atom_site_type_symbol
_atom_site_fract_x
_atom_site_fract_y
_atom_site_fract_z
_atom_site_occupancy
Ta1 Ta 0.000 0.000 0.000 1
Sn1 Sn 0.500 0.500 0.500 1
Pt1 Pt 0.000 0.500 0.500 1
```

## TaZnPd (PBE-GGA)

Data for a relaxed TaZnPd crystal.

The energy of formation comes out at -0.23 eV/atom. The value obtained for the volume is 47 Å³ per cell.

The structure in CIF format:
```
data_TaZnPd
_chemical_formula_sum 'Ta1 Zn1 Pd1'
_cell_length_a 4.4335
_cell_length_b 4.4335
_cell_length_c 2.7531
_cell_angle_alpha 90.00
_cell_angle_beta 90.00
_cell_angle_gamma 120.00
_symmetry_space_group_name_H-M 'P -6 m 2'
_symmetry_Int_Tables_number 187
_symmetry_space_group_name_Hall 'P -6 2'
loop_
_atom_site_label
_atom_site_type_symbol
_atom_site_fract_x
_atom_site_fract_y
_atom_site_fract_z
_atom_site_occupancy
Ta1 Ta 0.0000 0.0000 0.0000 1
Zn1 Zn 0.3333 0.6667 0.5000 1
Pd1 Pd 0.6667 0.3333 0.5000 1
```

## Li3Ac2Cd12In (PBE-GGA)

Data for a relaxed Li3Ac2Cd12In crystal.

The energy of formation comes out at -0.06 eV/atom. The value obtained for the volume is 1387 Å³ per cell.

The structure in CIF format:
```
data_Li3Ac2Cd12In
_chemical_formula_sum 'Li9 Ac6 Cd36 In3'
_cell_length_a 10.5558
_cell_length_b 10.5558
_cell_length_c 14.3749
_cell_angle_alpha 90.00
_cell_angle_beta 90.00
_cell_angle_gamma 120.00
_symmetry_space_group_name_H-M 'R -3 m'
_symmetry_Int_Tables_number 166
_symmetry_space_group_name_Hall '-R 3 2"'
loop_
_atom_site_label
_atom_site_type_symbol
_atom_site_fract_x
_atom_site_fract_y
_atom_site_fract_z
_atom_site_occupancy
Li1 Li 0.0000 0.5000 0.0000 1
Ac1 Ac 0.0000 0.0000 0.2421 1
Cd1 Cd 0.0122 0.5061 0.2033 1
Cd2 Cd 0.0489 0.5244 0.5996 1
In1 In 0.0000 0.0000 0.5000 1
```

Which mass density belongs to each record? In order, 10.58 13.09 12.50 6.96 g/cm³.
Which calculated total energy belongs to each record? In order, -7.128 -5.567 -6.337 -1.602 eV per atom.